VASP calculation (PBE-GGA) on a relaxed structure of Pm5Nd2Ho12.

Cell: 6.7584 8.8113 11.4603 Å, 110.89 92.24 100.35°
With the nearest neighbours (Å) after each atom.
Fractional positions:
Pm  0.0000  0.0000  0.0000  8 Ho 3.52-3.80, 4 Pm 3.80-3.88
Pm  0.1233  0.2596  0.5127  7 Ho 3.26-3.66, 2 Nd 3.52-3.55
Pm  0.4522  0.8128  0.0382  8 Ho 3.39-3.77, 1 Pm 3.66
Pm  0.5478  0.1872  0.9618  8 Ho 3.39-3.77, 1 Pm 3.66
Pm  0.8767  0.7404  0.4873  7 Ho 3.26-3.66, 2 Nd 3.52-3.55
Nd  0.3419  0.6177  0.4272  9 Ho 3.43-3.78, 3 Pm 3.52-3.71
Nd  0.6581  0.3823  0.5728  9 Ho 3.43-3.78, 3 Pm 3.52-3.71
Ho  0.1098  0.6907  0.7218  2 Pm 3.26-3.59, 5 Ho 3.30-3.56, 1 Nd 3.60
Ho  0.1152  0.8564  0.2662  4 Pm 3.41-3.80, 5 Ho 3.43-3.60, 1 Nd 3.73
Ho  0.1577  0.4437  0.0863  6 Ho 3.30-3.64, 1 Pm 3.61
Ho  0.3347  0.4267  0.8124  3 Pm 3.36-3.60, 6 Ho 3.37-3.66, 1 Nd 3.53
Ho  0.3499  0.0216  0.6338  3 Pm 3.42-3.61, 6 Ho 3.45-3.69, 2 Nd 3.49-3.78
Ho  0.3836  0.2204  0.2506  6 Ho 3.35-3.66, 2 Nd 3.43-3.72, 4 Pm 3.46-3.67
Ho  0.6164  0.7796  0.7494  6 Ho 3.35-3.66, 2 Nd 3.43-3.72, 4 Pm 3.46-3.67
Ho  0.6501  0.9784  0.3662  3 Pm 3.42-3.61, 6 Ho 3.45-3.69, 2 Nd 3.49-3.78
Ho  0.6653  0.5733  0.1876  3 Pm 3.36-3.60, 6 Ho 3.37-3.66, 1 Nd 3.53
Ho  0.8423  0.5563  0.9137  6 Ho 3.30-3.64, 1 Pm 3.61
Ho  0.8848  0.1436  0.7338  4 Pm 3.41-3.80, 5 Ho 3.43-3.60, 1 Nd 3.73
Ho  0.8902  0.3093  0.2782  2 Pm 3.26-3.59, 5 Ho 3.30-3.56, 1 Nd 3.60

Properties
Total magnetic moment (μB per formula unit): 0.00
Density of states at the Fermi level (states/eV/cell): 28.275
Calculated volume (Å³/atom): 32.8
Formation energy from the elements (meV per atom): 81


VASP calculation (PBE-GGA) on a relaxed structure of Ca2PmCd.

Cell: 4.9293 4.9293 5.3459 Å, 90.00 90.00 90.00°
With the nearest neighbours (Å) after each atom.
Fractional positions:
Ca  0.0000  0.5000  0.0000  4 Ca 3.49, 4 Cd 3.64, 4 Pm 3.64
Ca  0.5000  0.0000  0.0000  4 Ca 3.49, 4 Cd 3.64, 4 Pm 3.64
Pm  0.0000  0.0000  0.5000  4 Cd 3.49, 8 Ca 3.64
Cd  0.5000  0.5000  0.5000  4 Pm 3.49, 8 Ca 3.64

Properties
Total magnetic moment (μB per formula unit): 0.00
Density of states at the Fermi level (states/eV/cell): 6.119
Calculated volume (Å³/atom): 32.5
Formation energy from the elements (meV per atom): -64


VASP calculation (PBE-GGA) on a relaxed structure of Fe2AgBr.

Cell: 8.5476 8.5476 8.5476 Å, 21.01 21.01 21.01°
With the nearest neighbours (Å) after each atom.
Fractional positions:
Fe  0.0000  0.0000  0.0000  3 Fe 2.44, 3 Br 2.55
Fe  0.2674  0.2674  0.2674  3 Fe 2.44
Ag  0.5180  0.5180  0.5180  3 Fe 2.75
Br  0.7390  0.7390  0.7390  3 Fe 2.55

Properties
Total magnetic moment (μB per formula unit): 5.56
Density of states at the Fermi level (states/eV/cell): 2.860
Calculated volume (Å³/atom): 17.6
Formation energy (no corrections) (eV per atom): 0.355


VASP calculation (PBE-GGA) on a relaxed structure of ScBi2N.

Cell: 6.3025 6.3025 6.3025 Å, 112.23 112.23 104.08°
With the nearest neighbours (Å) after each atom.
Fractional positions:
Sc  0.0000  0.0000  0.0000  4 Bi 3.06
Sc  0.7500  0.2500  0.5000  4 Bi 3.06
Bi  0.2032  0.6250  0.0782  2 N 2.34
Bi  0.3750  0.4532  0.5782  2 N 2.34
Bi  0.5468  0.1250  0.9218  2 N 2.34
Bi  0.8750  0.7968  0.4218  2 N 2.34
N  0.2500  0.7500  0.5000  4 Bi 2.34
N  0.5000  0.5000  0.0000  4 Bi 2.34

Properties
Total magnetic moment (μB per formula unit): 0.00
Density of states at the Fermi level (states/eV/cell): 5.528
Calculated volume (Å³/atom): 23.9
Formation energy (no corrections) (eV per atom): 0.441


VASP calculation (PBE-GGA) on a relaxed structure of BeNb2I.

Cell: 4.6100 4.6100 4.6100 Å, 60.00 60.00 60.00°
With the nearest neighbours (Å) after each atom.
Fractional positions:
Be  0.0000  0.0000  0.0000  8 Nb 2.82
Nb  0.2500  0.2500  0.2500  4 Be 2.82, 4 I 2.82
Nb  0.7500  0.7500  0.7500  4 Be 2.82, 4 I 2.82
I  0.5000  0.5000  0.5000  8 Nb 2.82

Properties
Total magnetic moment (μB per formula unit): 0.00
Density of states at the Fermi level (states/eV/cell): 4.102
Calculated volume (Å³/atom): 17.3
Formation energy (no corrections) (eV per atom): 0.663


VASP calculation (PBE-GGA) on a relaxed structure of AlCrTe2.

Cell: 5.5533 5.5533 4.2332 Å, 110.13 110.13 88.64°
With the nearest neighbours (Å) after each atom.
Fractional positions:
Al  0.0000  0.0000  0.0000  4 Te 2.78
Cr  0.5000  0.5000  0.0000  4 Te 2.78
Te  0.0000  0.5000  0.0000  2 Cr 2.78, 2 Al 2.78
Te  0.5000  0.0000  0.0000  2 Cr 2.78, 2 Al 2.78

Properties
Total magnetic moment (μB per formula unit): 4.10
Density of states at the Fermi level (states/eV/cell): 2.346
Calculated volume (Å³/atom): 28.6
Formation energy (no corrections) (eV per atom): 0.218


> Which formula does entry 4 have?

ScBi2N


> Look up the density of states at the Fermi level of the second one.

6.119 states/eV/cell